{
  "formula": "AcB2Pt8",
  "functional": "PBE",
  "state": "optimized geometry",
  "lattice_angstrom": [[5.3116, 0.0000, 0.0000], [0.0000, 5.3116, 0.0000], [0.0000, 0.0000, 7.7827]],
  "species": ["Ac", "B", "B", "Pt", "Pt", "Pt", "Pt", "Pt", "Pt", "Pt", "Pt"],
  "fractional_positions": [[0.0000, 0.0000, 0.0000], [0.0000, 0.5000, 0.5000], [0.5000, 0.0000, 0.5000], [0.2520, 0.2520, 0.3213], [0.2520, 0.2520, 0.6787], [0.2520, 0.7480, 0.3213], [0.2520, 0.7480, 0.6787], [0.7480, 0.2520, 0.3213], [0.7480, 0.2520, 0.6787], [0.7480, 0.7480, 0.3213], [0.7480, 0.7480, 0.6787]],
  "volume_a3_per_atom": 20.0,
  "magnetic_moment_mub_per_atom": 0.0000,
  "ef_mev_per_atom": -72
}